(1)
Material: K3CaHg2F9
Method: DFT, PBE
State: optimized geometry

The structure in POSCAR format:
```
K3CaHg2F9
1.0
6.453 0.000 0.000
-3.226 5.588 0.000
0.000 0.000 7.908
K F Hg Ca
3 9 2 1
Direct
0.667 0.333 0.282
0.333 0.667 0.718
0.000 0.000 0.000
0.158 0.842 0.327
0.500 0.500 0.000
0.842 0.158 0.673
0.684 0.842 0.327
0.158 0.316 0.327
0.316 0.158 0.673
0.500 0.000 0.000
0.000 0.500 0.000
0.842 0.684 0.673
0.333 0.667 0.179
0.667 0.333 0.821
0.000 0.000 0.500
```

Output
Its space group is No. 164. The calculation puts the theoretical density at 4.25 g/cm3. For the formation energy (no corrections), the calculation gives -2.4546 eV per atom.

=====

(2)
Material: LiCaHgF6
Method: DFT, PBE
State: optimized geometry

The structure in POSCAR format:
```
LiCaHgF6
1.0
-4.638 1.171 -0.213
-0.762 -3.753 -4.033
-0.618 -1.477 5.326
F Hg Ca Li
6 1 1 1
Direct
0.261 0.311 0.322
0.261 0.678 0.989
0.739 0.011 0.322
0.739 0.311 0.989
0.739 0.678 0.689
0.261 0.011 0.689
0.000 0.333 0.667
0.500 0.667 0.333
0.500 0.000 0.000
```

Output
Its space group is No. 149. The calculation puts the theoretical density at 4.68 g/cm3. For the formation energy (no corrections), the calculation gives -2.3939 eV per atom.

=====

(3)
Material: Li2CaHgF6
Method: DFT, PBE
State: optimized geometry

The structure in POSCAR format:
```
Li2CaHgF6
1.0
5.588 0.070 -0.065
2.854 4.787 -0.077
2.763 1.577 4.484
F Li Hg Ca
6 2 1 1
Direct
0.140 0.392 0.736
0.327 0.837 0.632
0.890 0.644 0.251
0.351 0.820 0.124
0.693 0.207 0.261
0.715 0.180 0.760
0.019 0.025 0.943
0.507 0.514 0.456
0.285 0.247 0.177
0.736 0.797 0.675
```

Output
Its space group is No. 1. The calculation puts the theoretical density at 5.09 g/cm3. For the formation energy (no corrections), the calculation gives -2.7410 eV per atom.

=====

no.,total magnetic moment (Bohr magnetons per cell)
1,0.00
2,1.05
3,0.00